[1]
Density functional theory data (PBE-GGA) for a relaxed TeAs4Ir crystal.

For the energy relative to the elements, uncorrected, the calculation gives 0.893 eV/atom. As for the crystal system: cubic.

It has space group F-43m (No. 216), with a = 7.838 Å, b = 7.838 Å, c = 7.838 Å, α = 90.00°, β = 90.00° and γ = 90.00°. The inequivalent atoms are Te at (0.000, 0.000, 0.000), As at (0.124, 0.124, 0.624) and Ir at (0.250, 0.250, 0.250).


[2]
Density functional theory data (PBE-GGA) for a relaxed TlTeAs2Ir crystal.

For the energy relative to the elements, uncorrected, the calculation gives 1.689 eV/atom. As for the crystal system: tetragonal.

It has space group P4/mmm (No. 123), with a = 5.268 Å, b = 5.268 Å, c = 5.730 Å, α = 90.00°, β = 90.00° and γ = 90.00°. The inequivalent atoms are Tl at (0.000, 0.000, 0.000), Te at (0.000, 0.000, 0.500), As at (0.000, 0.500, 0.500) and Ir at (0.500, 0.500, 0.000).


[3]
Density functional theory data (PBE-GGA) for a relaxed YTe2AsIr crystal.

For the energy relative to the elements, uncorrected, the calculation gives 0.971 eV/atom. As for the crystal system: tetragonal.

It has space group P4/mmm (No. 123), with a = 5.731 Å, b = 5.731 Å, c = 5.085 Å, α = 90.00°, β = 90.00° and γ = 90.00°. The inequivalent atoms are Y at (0.000, 0.000, 0.000), Te at (0.000, 0.500, 0.000), As at (0.500, 0.500, 0.500) and Ir at (0.000, 0.000, 0.500).


[4]
Density functional theory data (PBE-GGA) for a relaxed Th3As2Ir crystal.

As for the crystal system: tetragonal. Its energy relative to the elements is -1190 meV/atom.

It has space group I4/mmm (No. 139), with a = 4.228 Å, b = 4.228 Å, c = 17.911 Å, α = 90.00°, β = 90.00° and γ = 90.00°. The inequivalent atoms are Th at (0.000, 0.000, 0.000), Th at (0.000, 0.000, 0.339), As at (0.000, 0.000, 0.171) and Ir at (0.000, 0.000, 0.500).


no.,magnetization (Bohr magnetons per cell)
1,0.01
2,1.81
3,0.00
4,0.00